Density functional theory data (PBE) for an optimized crystal structure of Li6Mg2Au3.

Structure (extended XYZ):
```
11
Lattice="3.724 0.000 0.000 0.000 3.724 0.000 -1.862 -1.862 14.292" Properties=species:S:1:pos:R:3 pbc="T T T"
Li 0.000 0.000 6.963
Au 1.862 1.862 11.509
Au 0.000 0.000 2.783
Li 0.000 1.862 9.646
Li 1.862 0.000 9.646
Li 1.862 1.862 7.329
Mg 0.000 0.000 12.702
Mg 1.862 1.862 1.590
Li 1.862 0.000 4.646
Li 0.000 1.862 4.646
Au 0.000 0.000 0.000
```

## Properties
Magnetization   0.0 μB/cell
E_form   -0.27 eV/atom
Crystal system   tetragonal

Density functional theory data (PBE) for an optimized crystal structure of UMn4Al.

Structure (extended XYZ):
```
6
Lattice="-2.614 -3.506 2.228 1.477 -1.787 4.327 -2.528 1.040 4.077" Properties=species:S:1:pos:R:3 pbc="T T T"
Mn -0.977 -0.895 5.533
Mn -2.295 -2.663 6.656
Mn -3.039 -1.762 4.475
U -0.916 -1.063 2.658
Al 0.000 0.000 0.000
Mn -1.020 -3.187 4.601
```

## Properties
Magnetization   5.8 μB/cell
E_form   0.07 eV/atom
Crystal system   cubic